Entry 1:
# CaPtW GGA-PBE relaxed
data_CaPtW
_chemical_formula_sum 'Ca2 Pt2 W2'
_cell_length_a 4.463
_cell_length_b 6.012
_cell_length_c 5.506
_cell_angle_alpha 98.58
_cell_angle_beta 66.10
_cell_angle_gamma 111.77
_space_group_name_H-M_alt 'P 1'
_space_group_IT_number 1
loop_
_space_group_symop_operation_xyz
'x,y,z'
loop_
_atom_site_label
_atom_site_type_symbol
_atom_site_fract_x
_atom_site_fract_y
_atom_site_fract_z
Ca1 Ca 0.408 0.161 0.603
Ca2 Ca 0.894 0.500 0.969
Pt1 Pt 0.217 0.566 0.390
Pt2 Pt 0.086 0.095 0.182
W1 W 0.564 0.894 0.024
W2 W 0.739 0.767 0.548
# DFT total energy: -0.261 Ha/atom
# DFT formation energy: -0.35 eV/f.u.

=====

Entry 2:
# LaPt2Rh GGA-PBE relaxed
data_LaPt2Rh
_chemical_formula_sum 'La1 Pt2 Rh1'
_cell_length_a 4.562
_cell_length_b 4.562
_cell_length_c 5.442
_cell_angle_alpha 65.53
_cell_angle_beta 65.53
_cell_angle_gamma 59.95
_space_group_name_H-M_alt 'P 1'
_space_group_IT_number 1
loop_
_space_group_symop_operation_xyz
'x,y,z'
loop_
_atom_site_label
_atom_site_type_symbol
_atom_site_fract_x
_atom_site_fract_y
_atom_site_fract_z
Rh1 Rh 0.561 0.561 0.317
Pt1 Pt 0.950 0.950 0.150
Pt2 Pt 0.239 0.239 0.285
La1 La 0.750 0.750 0.748
# DFT total energy: -0.250 Ha/atom
# DFT formation energy: -2.90 eV/f.u.

=====

Entry 3:
# LaBe2Al GGA-PBE relaxed
data_LaBe2Al
_chemical_formula_sum 'La2 Be4 Al2'
_cell_length_a 4.522
_cell_length_b 4.522
_cell_length_c 8.563
_cell_angle_alpha 74.69
_cell_angle_beta 74.69
_cell_angle_gamma 90.00
_space_group_name_H-M_alt 'P 1'
_space_group_IT_number 1
loop_
_space_group_symop_operation_xyz
'x,y,z'
loop_
_atom_site_label
_atom_site_type_symbol
_atom_site_fract_x
_atom_site_fract_y
_atom_site_fract_z
Be1 Be 0.375 0.125 0.250
Be2 Be 0.375 0.625 0.250
Be3 Be 0.375 0.625 0.750
Be4 Be 0.875 0.625 0.750
Al1 Al 0.500 0.500 0.000
Al2 Al 0.250 0.750 0.500
La1 La 0.000 0.000 0.000
La2 La 0.750 0.250 0.500
# DFT total energy: -0.145 Ha/atom
# DFT formation energy: 0.33 eV/f.u.

=====

Entry 4:
# NaCdSn2 GGA-PBE relaxed
data_NaCdSn2
_chemical_formula_sum 'Na8 Cd8 Sn16'
_cell_length_a 6.194
_cell_length_b 11.740
_cell_length_c 11.740
_cell_angle_alpha 90.00
_cell_angle_beta 90.00
_cell_angle_gamma 90.00
_space_group_name_H-M_alt 'P 1'
_space_group_IT_number 1
loop_
_space_group_symop_operation_xyz
'x,y,z'
loop_
_atom_site_label
_atom_site_type_symbol
_atom_site_fract_x
_atom_site_fract_y
_atom_site_fract_z
Na1 Na 0.750 0.250 0.750
Na2 Na 0.250 0.250 0.250
Na3 Na 0.250 0.750 0.750
Na4 Na 0.750 0.750 0.250
Na5 Na 0.250 0.750 0.250
Na6 Na 0.750 0.750 0.750
Na7 Na 0.750 0.250 0.250
Na8 Na 0.250 0.250 0.750
Cd1 Cd 0.500 0.121 0.000
Cd2 Cd 0.500 0.621 0.500
Cd3 Cd 0.500 0.379 0.500
Cd4 Cd 0.000 0.000 0.121
Cd5 Cd 0.000 0.000 0.879
Cd6 Cd 0.000 0.500 0.621
Cd7 Cd 0.500 0.879 0.000
Cd8 Cd 0.000 0.500 0.379
Sn1 Sn 0.000 0.254 0.000
Sn2 Sn 0.500 0.500 0.754
Sn3 Sn 0.000 0.746 0.000
Sn4 Sn 0.000 0.246 0.500
Sn5 Sn 0.000 0.754 0.500
Sn6 Sn 0.500 0.000 0.746
Sn7 Sn 0.500 0.000 0.254
Sn8 Sn 0.500 0.500 0.246
Sn9 Sn 0.000 0.000 0.631
Sn10 Sn 0.500 0.369 0.000
Sn11 Sn 0.500 0.631 0.000
Sn12 Sn 0.000 0.500 0.869
Sn13 Sn 0.000 0.500 0.131
Sn14 Sn 0.000 0.000 0.369
Sn15 Sn 0.500 0.131 0.500
Sn16 Sn 0.500 0.869 0.500
# DFT total energy: -0.096 Ha/atom
# DFT formation energy: -0.19 eV/f.u.

=====

Entry 5:
# Ac3Sn2N GGA-PBE relaxed
data_Ac3Sn2N
_chemical_formula_sum 'Ac6 Sn4 N2'
_cell_length_a 7.069
_cell_length_b 9.098
_cell_length_c 7.384
_cell_angle_alpha 101.80
_cell_angle_beta 118.60
_cell_angle_gamma 90.00
_space_group_name_H-M_alt 'P 1'
_space_group_IT_number 1
loop_
_space_group_symop_operation_xyz
'x,y,z'
loop_
_atom_site_label
_atom_site_type_symbol
_atom_site_fract_x
_atom_site_fract_y
_atom_site_fract_z
Ac1 Ac 0.379 0.250 0.000
Ac2 Ac 0.621 0.750 0.000
Ac3 Ac 0.031 0.153 0.266
Ac4 Ac 0.765 0.347 0.734
Ac5 Ac 0.235 0.653 0.266
Ac6 Ac 0.969 0.847 0.734
Sn1 Sn 0.791 0.520 0.329
Sn2 Sn 0.538 0.020 0.329
Sn3 Sn 0.462 0.980 0.671
Sn4 Sn 0.209 0.480 0.671
N1 N 0.953 0.750 0.000
N2 N 0.047 0.250 0.000
# Formation energy without anion corrections: -4.85 eV/f.u.
# E above lowest polymorph: 0 meV per atom
# DFT total energy: -0.205 Ha/atom

=====

Entry 6:
# Ce3SmTh2P6 GGA-PBE relaxed
data_Ce3SmTh2P6
_chemical_formula_sum 'Ce3 Sm1 Th2 P6'
_cell_length_a 7.125
_cell_length_b 7.125
_cell_length_c 7.128
_cell_angle_alpha 99.59
_cell_angle_beta 99.59
_cell_angle_gamma 119.99
_space_group_name_H-M_alt 'P 1'
_space_group_IT_number 1
loop_
_space_group_symop_operation_xyz
'x,y,z'
loop_
_atom_site_label
_atom_site_type_symbol
_atom_site_fract_x
_atom_site_fract_y
_atom_site_fract_z
Ce1 Ce 0.166 0.834 0.500
Ce2 Ce 0.834 0.166 0.500
Ce3 Ce 0.500 0.500 0.500
Sm1 Sm 0.000 0.000 0.000
Th1 Th 0.333 0.667 0.000
Th2 Th 0.667 0.333 0.000
P1 P 0.916 0.582 0.747
P2 P 0.751 0.751 0.253
P3 P 0.084 0.418 0.253
P4 P 0.582 0.916 0.747
P5 P 0.249 0.249 0.747
P6 P 0.418 0.084 0.253
# DFT total energy: -0.271 Ha/atom
# DFT formation energy: -18.54 eV/f.u.

=====

Entry 7:
# TlCu2SnP GGA-PBE relaxed
data_TlCu2SnP
_chemical_formula_sum 'Tl1 Cu2 Sn1 P1'
_cell_length_a 4.372
_cell_length_b 6.050
_cell_length_c 4.372
_cell_angle_alpha 90.00
_cell_angle_beta 90.00
_cell_angle_gamma 90.00
_space_group_name_H-M_alt 'P 1'
_space_group_IT_number 1
loop_
_space_group_symop_operation_xyz
'x,y,z'
loop_
_atom_site_label
_atom_site_type_symbol
_atom_site_fract_x
_atom_site_fract_y
_atom_site_fract_z
P1 P 0.000 0.000 0.000
Tl1 Tl 0.000 0.500 0.000
Sn1 Sn 0.500 0.500 0.500
Cu1 Cu 0.000 0.000 0.500
Cu2 Cu 0.500 0.000 0.000
# DFT total energy: -0.136 Ha/atom
# DFT formation energy: 1.51 eV/f.u.

=====

Entry 8:
# Sb2TeCl GGA-PBE relaxed
data_Sb2TeCl
_chemical_formula_sum 'Sb2 Te1 Cl1'
_cell_length_a 3.853
_cell_length_b 5.875
_cell_length_c 4.752
_cell_angle_alpha 90.00
_cell_angle_beta 90.00
_cell_angle_gamma 90.00
_space_group_name_H-M_alt 'P 1'
_space_group_IT_number 1
loop_
_space_group_symop_operation_xyz
'x,y,z'
loop_
_atom_site_label
_atom_site_type_symbol
_atom_site_fract_x
_atom_site_fract_y
_atom_site_fract_z
Cl1 Cl 0.000 0.500 0.500
Sb1 Sb 0.000 0.000 0.000
Sb2 Sb 0.500 0.500 0.000
Te1 Te 0.500 0.000 0.500
# Formation energy without anion corrections: 0.46 eV/f.u.
# E above lowest polymorph: 272 meV per atom
# DFT total energy: -0.117 Ha/atom

=====

Entry 9:
# BaLiNdCd GGA-PBE relaxed
data_BaLiNdCd
_chemical_formula_sum 'Ba1 Li1 Nd1 Cd1'
_cell_length_a 5.739
_cell_length_b 5.739
_cell_length_c 5.739
_cell_angle_alpha 60.00
_cell_angle_beta 60.00
_cell_angle_gamma 60.00
_space_group_name_H-M_alt 'P 1'
_space_group_IT_number 1
loop_
_space_group_symop_operation_xyz
'x,y,z'
loop_
_atom_site_label
_atom_site_type_symbol
_atom_site_fract_x
_atom_site_fract_y
_atom_site_fract_z
Li1 Li 0.250 0.250 0.250
Nd1 Nd 0.500 0.500 0.500
Ba1 Ba 0.000 0.000 0.000
Cd1 Cd 0.750 0.750 0.750
# DFT total energy: -0.089 Ha/atom
# DFT formation energy: -0.13 eV/f.u.

=====

Entry 10:
# CaTb3Tm3Se8 GGA-PBE relaxed
data_CaTb3Tm3Se8
_chemical_formula_sum 'Ca1 Tb3 Tm3 Se8'
_cell_length_a 8.097
_cell_length_b 8.097
_cell_length_c 8.120
_cell_angle_alpha 119.91
_cell_angle_beta 90.00
_cell_angle_gamma 120.00
_space_group_name_H-M_alt 'P 1'
_space_group_IT_number 1
loop_
_space_group_symop_operation_xyz
'x,y,z'
loop_
_atom_site_label
_atom_site_type_symbol
_atom_site_fract_x
_atom_site_fract_y
_atom_site_fract_z
Ca1 Ca 0.000 0.000 0.500
Tb1 Tb 0.000 0.000 0.000
Tb2 Tb 0.000 0.500 0.000
Tb3 Tb 0.500 0.500 0.000
Tm1 Tm 0.500 0.000 0.500
Tm2 Tm 0.500 0.500 0.500
Tm3 Tm 0.000 0.500 0.500
Se1 Se 0.252 0.505 0.257
Se2 Se 0.748 0.495 0.743
Se3 Se 0.745 0.490 0.250
Se4 Se 0.255 0.510 0.750
Se5 Se 0.745 0.005 0.250
Se6 Se 0.255 0.995 0.750
Se7 Se 0.260 0.005 0.250
Se8 Se 0.740 0.995 0.750
# Formation energy without anion corrections: -27.53 eV/f.u.
# DFT total energy: -0.208 Ha/atom

=====

Entry 11:
# Rb2LiSe GGA-PBE relaxed
data_Rb2LiSe
_chemical_formula_sum 'Rb4 Li2 Se2'
_cell_length_a 4.793
_cell_length_b 10.016
_cell_length_c 9.595
_cell_angle_alpha 105.22
_cell_angle_beta 104.46
_cell_angle_gamma 90.00
_space_group_name_H-M_alt 'P 1'
_space_group_IT_number 1
loop_
_space_group_symop_operation_xyz
'x,y,z'
loop_
_atom_site_label
_atom_site_type_symbol
_atom_site_fract_x
_atom_site_fract_y
_atom_site_fract_z
Rb1 Rb 0.134 0.567 0.266
Rb2 Rb 0.866 0.433 0.734
Rb3 Rb 0.133 0.067 0.266
Rb4 Rb 0.867 0.933 0.734
Li1 Li 0.491 0.750 0.000
Li2 Li 0.509 0.250 0.000
Se1 Se 0.009 0.250 0.000
Se2 Se 0.991 0.750 0.000
# Formation energy without anion corrections: -2.99 eV/f.u.
# DFT total energy: -0.095 Ha/atom

=====

Entry 12:
# TmGe2S4 GGA-PBE relaxed
data_TmGe2S4
_chemical_formula_sum 'Tm1 Ge2 S4'
_cell_length_a 6.138
_cell_length_b 6.138
_cell_length_c 6.138
_cell_angle_alpha 106.90
_cell_angle_beta 106.90
_cell_angle_gamma 114.75
_space_group_name_H-M_alt 'P 1'
_space_group_IT_number 1
loop_
_space_group_symop_operation_xyz
'x,y,z'
loop_
_atom_site_label
_atom_site_type_symbol
_atom_site_fract_x
_atom_site_fract_y
_atom_site_fract_z
Tm1 Tm 0.500 0.500 0.000
Ge1 Ge 0.250 0.750 0.500
Ge2 Ge 0.750 0.250 0.500
S1 S 0.319 0.187 0.506
S2 S 0.813 0.319 0.132
S3 S 0.187 0.681 0.868
S4 S 0.681 0.813 0.494
# Formation energy without anion corrections: -3.55 eV/f.u.
# DFT total energy: -0.177 Ha/atom

=====

- The lowest DFT total energy belongs to which entry?
  Ce3SmTh2P6

=====

- What is the DFT total energy in the ninth record?
  -0.089 Ha/atom